Density functional theory data (GGA-PBE) for NaSb2RuO8 after structural relaxation.

Results
* calculated total energy: -5.766 eV per atom
* space group: No. 147
* E_form (uncorrected): -0.890 eV/atom

a = 5.5403 Å, b = 5.5403 Å, c = 6.5295 Å
α = 90.00°, β = 90.00°, γ = 120.00°
With the nearest neighbours (Å) after each atom.
Fractional positions:
Na  0.0000  0.0000  0.0000  12 O 2.99-3.30, 2 Ru 3.26
Sb  0.3333  0.6667  0.4180  4 O 1.93-2.16
Sb  0.6667  0.3333  0.5820  4 O 1.93-2.16
Ru  0.0000  0.0000  0.5000  6 O 2.01
O  0.0593  0.3509  0.6346  1 Ru 2.01, 2 Sb 2.16-2.17
O  0.2916  0.9407  0.6346  1 Ru 2.01, 2 Sb 2.16-2.17
O  0.3333  0.6667  0.1219  1 Sb 1.93
O  0.3509  0.2916  0.3654  1 Ru 2.01, 2 Sb 2.16-2.17
O  0.6491  0.7084  0.6346  1 Ru 2.01, 2 Sb 2.16-2.17
O  0.6667  0.3333  0.8781  1 Sb 1.93
O  0.7084  0.0593  0.3654  1 Ru 2.01, 2 Sb 2.16-2.17
O  0.9407  0.6491  0.3654  1 Ru 2.01, 2 Sb 2.16-2.17